## Hg3SO6 (PBE-GGA)

Data for Hg3SO6 after structural relaxation.

## Properties
- volume (Å³ per atom) = 14.8
- ΔE to the lowest computed polymorph (meV per atom) = 0

```
Hg3SO6
1.0
7.144 0.000 0.001
-3.572 6.187 -0.001
0.001 -0.001 10.014
Hg O S
9 18 3
Cartesian
1.066 1.846 0.000
4.672 1.925 0.157
-0.431 3.103 3.181
5.014 0.000 3.339
3.142 3.084 3.495
1.101 4.262 6.520
-2.506 4.341 6.675
2.904 1.178 6.833
-0.668 5.008 9.857
-0.630 2.967 0.499
2.366 6.001 0.772
2.981 3.664 0.958
-1.091 5.438 2.379
0.764 0.951 2.566
4.890 2.029 2.840
1.319 4.157 3.836
-2.808 5.235 4.109
2.481 0.749 4.296
-0.591 2.522 5.719
5.939 0.185 5.905
2.943 3.220 6.178
-0.687 5.249 7.175
0.443 1.137 7.449
5.256 1.773 7.635
1.684 4.413 9.056
4.016 5.049 9.242
2.886 0.937 9.515
2.772 4.800 0.000
1.602 0.000 3.338
-0.800 1.387 6.677
```